Entry 1:
# AcClF2 (PBE-GGA, relaxed)
data_AcClF2
_chemical_formula_sum 'Ac4 Cl4 F8'
_symmetry_space_group_name_H-M 'C m c m'
_symmetry_Int_Tables_number 63
_symmetry_space_group_name_Hall '-C 2c 2'
_cell_length_a 4.199
_cell_length_b 10.636
_cell_length_c 7.491
_cell_angle_alpha 90.00
_cell_angle_beta 90.00
_cell_angle_gamma 90.00
loop_
_atom_site_label
_atom_site_type_symbol
_atom_site_fract_x
_atom_site_fract_y
_atom_site_fract_z
Ac1 Ac 0.000 0.232 0.250
Cl1 Cl 0.000 0.051 0.750
F1 F 0.000 0.317 0.566
# Distance to the lowest polymorph of the same formula, meV per atom: 0
# VASP energy, eV for the cell shown: -97.18
# Theoretical density, Mg/m³: 5.965
# ΔE_f (raw), eV per atom: -3.65
# Magnetization, Bohr magnetons per cell: 0.0


Entry 2:
# Tb2ErTh (PBE-GGA, relaxed)
data_Tb2ErTh
_chemical_formula_sum 'Tb2 Er1 Th1'
_symmetry_space_group_name_H-M 'P 4/m m m'
_symmetry_Int_Tables_number 123
_symmetry_space_group_name_Hall '-P 4 2'
_cell_length_a 5.008
_cell_length_b 5.008
_cell_length_c 5.038
_cell_angle_alpha 90.00
_cell_angle_beta 90.00
_cell_angle_gamma 90.00
loop_
_atom_site_label
_atom_site_type_symbol
_atom_site_fract_x
_atom_site_fract_y
_atom_site_fract_z
Tb1 Tb 0.000 0.500 0.000
Er1 Er 0.000 0.000 0.500
Th1 Th 0.500 0.500 0.500
# Distance to the lowest polymorph of the same formula, meV per atom: 11
# VASP energy, eV for the cell shown: -21.09
# Theoretical density, Mg/m³: 9.425
# Magnetization, Bohr magnetons per cell: 0.0


Entry 3:
# Er2Tm2Sc7 (PBE-GGA, relaxed)
data_Er2Tm2Sc7
_chemical_formula_sum 'Er4 Tm4 Sc14'
_symmetry_space_group_name_H-M 'C 1 2/m 1'
_symmetry_Int_Tables_number 12
_cell_length_a 6.191
_cell_length_b 11.088
_cell_length_c 9.050
_cell_angle_alpha 90.00
_cell_angle_beta 108.10
_cell_angle_gamma 90.00
loop_
_symmetry_equiv_pos_as_xyz
'x,y,z'
'-x,-y,-z'
'-x,y,-z'
'x,-y,z'
'x+1/2,y+1/2,z'
'-x+1/2,-y+1/2,-z'
'-x+1/2,y+1/2,-z'
'x+1/2,-y+1/2,z'
loop_
_atom_site_label
_atom_site_type_symbol
_atom_site_fract_x
_atom_site_fract_y
_atom_site_fract_z
Er1 Er 0.000 0.211 0.000
Tm1 Tm 0.164 0.500 0.706
Sc1 Sc 0.000 0.000 0.500
Sc2 Sc 0.235 0.290 0.342
Sc3 Sc 0.247 0.500 0.115
# Distance to the lowest polymorph of the same formula, meV per atom: 0
# VASP energy, eV for the cell shown: -120.94
# Theoretical density, Mg/m³: 5.552
# Magnetization, Bohr magnetons per cell: 0.0


Entry 4:
# CaPm6Sm3Y2 (PBE-GGA, relaxed)
data_CaPm6Sm3Y2
_chemical_formula_sum 'Ca2 Pm12 Sm6 Y4'
_symmetry_space_group_name_H-M 'C 1 2/m 1'
_symmetry_Int_Tables_number 12
_cell_length_a 6.332
_cell_length_b 10.969
_cell_length_c 12.019
_cell_angle_alpha 90.00
_cell_angle_beta 100.05
_cell_angle_gamma 90.00
loop_
_symmetry_equiv_pos_as_xyz
'x,y,z'
'-x,-y,-z'
'-x,y,-z'
'x,-y,z'
'x+1/2,y+1/2,z'
'-x+1/2,-y+1/2,-z'
'-x+1/2,y+1/2,-z'
'x+1/2,-y+1/2,z'
loop_
_atom_site_label
_atom_site_type_symbol
_atom_site_fract_x
_atom_site_fract_y
_atom_site_fract_z
Ca1 Ca 0.000 0.000 0.000
Pm1 Pm 0.245 0.330 0.749
Pm2 Pm 0.245 0.500 0.252
Sm1 Sm 0.000 0.166 0.500
Sm2 Sm 0.000 0.500 0.500
Y1 Y 0.000 0.333 0.000
# VASP energy, eV for the cell shown: -114.33
# Theoretical density, Mg/m³: 6.218
# Magnetization, Bohr magnetons per cell: 0.0


Entry 5:
# KSrTa (PBE-GGA, relaxed)
data_KSrTa
_chemical_formula_sum 'K4 Sr4 Ta4'
_symmetry_space_group_name_H-M 'C 1 2/m 1'
_symmetry_Int_Tables_number 12
_cell_length_a 5.252
_cell_length_b 5.253
_cell_length_c 17.182
_cell_angle_alpha 90.00
_cell_angle_beta 90.28
_cell_angle_gamma 90.00
loop_
_symmetry_equiv_pos_as_xyz
'x,y,z'
'-x,-y,-z'
'-x,y,-z'
'x,-y,z'
'x+1/2,y+1/2,z'
'-x+1/2,-y+1/2,-z'
'-x+1/2,y+1/2,-z'
'x+1/2,-y+1/2,z'
loop_
_atom_site_label
_atom_site_type_symbol
_atom_site_fract_x
_atom_site_fract_y
_atom_site_fract_z
K1 K 0.243 0.000 0.116
Sr1 Sr 0.247 0.500 0.335
Ta1 Ta 0.249 0.000 0.471
# Distance to the lowest polymorph of the same formula, meV per atom: 0
# VASP energy, eV for the cell shown: -53.72
# Theoretical density, Mg/m³: 4.311
# Magnetization, Bohr magnetons per cell: 0.0


Entry 6:
# AlCu (PBE-GGA, relaxed)
data_AlCu
_chemical_formula_sum 'Al2 Cu2'
_symmetry_space_group_name_H-M 'P 4/n m m'
_symmetry_Int_Tables_number 129
_cell_length_a 3.270
_cell_length_b 3.270
_cell_length_c 5.172
_cell_angle_alpha 90.00
_cell_angle_beta 90.00
_cell_angle_gamma 90.00
loop_
_symmetry_equiv_pos_as_xyz
'x,y,z'
'-x,-y,-z'
'-y+1/2,x,z'
'y+1/2,-x,-z'
'-x+1/2,-y+1/2,z'
'x+1/2,y+1/2,-z'
'y,-x+1/2,z'
'-y,x+1/2,-z'
'x+1/2,-y,-z'
'-x+1/2,y,z'
'-y,-x,-z'
'y,x,z'
'-x,y+1/2,-z'
'x,-y+1/2,z'
'y+1/2,x+1/2,-z'
'-y+1/2,-x+1/2,z'
loop_
_atom_site_label
_atom_site_type_symbol
_atom_site_fract_x
_atom_site_fract_y
_atom_site_fract_z
Al1 Al 0.250 0.250 0.147
Cu1 Cu 0.250 0.250 0.635
# VASP energy, eV for the cell shown: -16.20
# Theoretical density, Mg/m³: 5.435
# Magnetization, Bohr magnetons per cell: 0.0


Entry 7:
# SmAu (PBE-GGA, relaxed)
data_SmAu
_chemical_formula_sum 'Sm2 Au2'
_symmetry_space_group_name_H-M 'P 1 21/m 1'
_symmetry_Int_Tables_number 11
_cell_length_a 3.832
_cell_length_b 4.762
_cell_length_c 5.923
_cell_angle_alpha 90.00
_cell_angle_beta 108.81
_cell_angle_gamma 90.00
loop_
_symmetry_equiv_pos_as_xyz
'x,y,z'
'-x,-y,-z'
'-x,y+1/2,-z'
'x,-y+1/2,z'
loop_
_atom_site_label
_atom_site_type_symbol
_atom_site_fract_x
_atom_site_fract_y
_atom_site_fract_z
Sm1 Sm 0.138 0.250 0.276
Au1 Au 0.412 0.250 0.826
# VASP energy, eV for the cell shown: -19.32
# Theoretical density, Mg/m³: 11.275
# Magnetization, Bohr magnetons per cell: 0.0


Entry 8:
# Co7Ni3Ir2 (PBE-GGA, relaxed)
data_Co7Ni3Ir2
_chemical_formula_sum 'Co7 Ni3 Ir2'
_symmetry_space_group_name_H-M 'P 1 2/m 1'
_symmetry_Int_Tables_number 10
_cell_length_a 4.068
_cell_length_b 2.563
_cell_length_c 13.971
_cell_angle_alpha 90.00
_cell_angle_beta 93.60
_cell_angle_gamma 90.00
loop_
_symmetry_equiv_pos_as_xyz
'x,y,z'
'-x,-y,-z'
'-x,y,-z'
'x,-y,z'
loop_
_atom_site_label
_atom_site_type_symbol
_atom_site_fract_x
_atom_site_fract_y
_atom_site_fract_z
Co1 Co 0.000 0.000 0.000
Co2 Co 0.174 0.500 0.162
Co3 Co 0.258 0.500 0.537
Co4 Co 0.325 0.000 0.861
Ni1 Ni 0.222 0.000 0.374
Ni2 Ni 0.500 0.500 0.000
Ir1 Ir 0.298 0.500 0.710
# VASP energy, eV for the cell shown: -82.47
# Theoretical density, Mg/m³: 11.112
# Magnetization, Bohr magnetons per cell: 14.9


Q: Among the records above, which one has the highest magnetization?
A: Co7Ni3Ir2


Q: The lowest theoretical density belongs to which entry?
A: KSrTa